A plane-wave DFT calculation with PBE was carried out for crystalline Hg3C at its relaxed geometry.

The space group is P6_3/mmc.

abc: 5.7112 5.7112 6.0850
angles: 90.00 90.00 120.00
Last column: magnetic moment on the atom in μB.
Fractional positions:
Hg (0.1678, 0.3355, 0.2500)  0.00
Hg (0.1678, 0.8322, 0.2500)  0.00
Hg (0.3355, 0.1678, 0.7500)  0.00
Hg (0.6645, 0.8322, 0.2500)  0.00
Hg (0.8322, 0.1678, 0.7500)  0.00
Hg (0.8322, 0.6645, 0.7500)  0.00
C (0.6667, 0.3333, 0.2500)  0.35
C (0.3333, 0.6667, 0.7500)  0.35

=====

A plane-wave DFT calculation with PBE was carried out for crystalline HgC at its relaxed geometry.

The space group is R-3m.

abc: 12.2596 12.2596 12.2596
angles: 12.74 12.74 12.74
Fractional positions:
Hg (0.8812, 0.8812, 0.8812)
Hg (0.1188, 0.1188, 0.1188)
C (0.3333, 0.3333, 0.3333)
C (0.6667, 0.6667, 0.6667)

=====

A plane-wave DFT calculation with PBE was carried out for crystalline Hg2C3 at its relaxed geometry.

The space group is P-3m1.

abc: 3.8065 3.8065 5.7435
angles: 90.00 90.00 120.00
Fractional positions:
C (0.0000, 0.0000, 0.0000)
C (0.6667, 0.3333, 0.6624)
C (0.3333, 0.6667, 0.3376)
Hg (0.3333, 0.6667, 0.7699)
Hg (0.6667, 0.3333, 0.2301)

=====

A plane-wave DFT calculation with PBE was carried out for crystalline HgC at its relaxed geometry.

The space group is P2_12_12_1.

abc: 5.1424 10.5375 8.2317
angles: 90.00 90.00 90.00
Fractional positions:
C (0.1168, 0.7500, 0.0005)
C (0.6168, 0.7500, 0.9995)
C (0.8717, 0.7500, 0.9995)
C (0.6283, 0.2500, 0.4995)
C (0.1283, 0.2500, 0.5005)
C (0.8832, 0.2500, 0.4995)
C (0.3832, 0.2500, 0.5005)
C (0.3717, 0.7500, 0.0005)
Hg (0.2478, 0.9256, 0.3692)
Hg (0.7522, 0.0758, 0.1281)
Hg (0.7478, 0.9242, 0.6281)
Hg (0.7522, 0.4256, 0.1308)
Hg (0.7478, 0.5744, 0.6308)
Hg (0.2522, 0.4242, 0.8719)
Hg (0.2522, 0.0744, 0.8692)
Hg (0.2478, 0.5758, 0.3719)

=====

A plane-wave DFT calculation with PBE was carried out for crystalline HgC at its relaxed geometry.

The space group is Pm-3m.

abc: 4.6777 4.6777 4.6777
angles: 90.00 90.00 90.00
Fractional positions:
C (0.5000, 0.0000, 0.5000)
C (0.5000, 0.5000, 0.0000)
C (0.0000, 0.5000, 0.5000)
Hg (0.5000, 0.0000, 0.0000)
Hg (0.0000, 0.0000, 0.5000)
Hg (0.0000, 0.5000, 0.0000)

=====

A plane-wave DFT calculation with PBE was carried out for crystalline Hg3C4 at its relaxed geometry.

The space group is P-43m.

abc: 5.7938 5.7938 5.7938
angles: 90.00 90.00 90.00
Fractional positions:
Hg (0.5000, 0.5000, 0.0000)
Hg (0.0000, 0.5000, 0.5000)
Hg (0.5000, 0.0000, 0.5000)
C (0.4034, 0.5966, 0.4034)
C (0.5966, 0.5966, 0.5966)
C (0.4034, 0.4034, 0.5966)
C (0.5966, 0.4034, 0.4034)

=====

Ordered formation energy from the elements results: 1.487; 0.587; 2.886; 0.538; 2.499; 1.766; unit eV per atom.
Ordered energy above the lowest structure with this stoichiometry results: 1085; 49; 1851; 0; 1961; 72; unit meV/atom.